(1)
# Tb3Sm4Si4

A relaxed structure of Tb3Sm4Si4 (PBE-GGA, Alexandria).

The calculation puts the final energy at -119.88 eV/cell. The value obtained for the uncorrected formation energy is -0.498 eV per atom. The calculation puts the total magnetization at 0.00 μB/f.u. Its crystal system is orthorhombic.

a b c (Å): 3.744 8.727 17.219
angles (deg): 90.00 90.00 90.00
Space group Immm (No. 71)
Symmetry-distinct sites (fractional):
Tb: 0.000 0.000 0.000 (multiplicity 2)
Tb: 0.000 0.500 0.094 (multiplicity 4)
Sm: 0.000 0.324 0.330 (multiplicity 8)
Si: 0.000 0.000 0.276 (multiplicity 4)
Si: 0.000 0.224 0.500 (multiplicity 4)


(2)
# PuMgTc4

A relaxed structure of PuMgTc4 (PBE-GGA, Alexandria).

The calculation puts the final energy at -226.37 eV/cell. The formation energy from the elements is 0.1330 eV/atom. The calculation puts the total magnetization at 6.05 μB/f.u. Its crystal system is cubic.

a b c (Å): 7.507 7.507 7.507
angles (deg): 90.00 90.00 90.00
Space group F-43m (No. 216)
Symmetry-distinct sites (fractional):
Pu: 0.000 0.000 0.000 (multiplicity 4)
Mg: 0.250 0.250 0.250 (multiplicity 4)
Tc: 0.124 0.124 0.624 (multiplicity 16)


(3)
# Sr2YThS4

A relaxed structure of Sr2YThS4 (PBE-GGA, Alexandria).

The calculation puts the final energy at -49.37 eV/cell. The value obtained for the uncorrected formation energy is -1.952 eV per atom. The calculation puts the total magnetization at 0.00 μB/f.u. Its crystal system is monoclinic.

a b c (Å): 7.048 4.052 7.260
angles (deg): 90.00 108.66 90.00
Space group P2/m (No. 10)
Symmetry-distinct sites (fractional):
Sr: 0.000 0.000 0.000 (multiplicity 1)
Sr: 0.500 0.500 0.000 (multiplicity 1)
Y: 0.000 0.500 0.500 (multiplicity 1)
Th: 0.500 0.000 0.500 (multiplicity 1)
S: 0.240 0.000 0.733 (multiplicity 2)
S: 0.249 0.500 0.262 (multiplicity 2)


(4)
# BaCa4Ta

A relaxed structure of BaCa4Ta (PBE-GGA, Alexandria).

The calculation puts the final energy at -68.38 eV/cell. The formation energy from the elements is 0.7812 eV/atom. The calculation puts the total magnetization at 4.73 μB/f.u. Its crystal system is cubic.

a b c (Å): 9.749 9.749 9.749
angles (deg): 90.00 90.00 90.00
Space group F-43m (No. 216)
Symmetry-distinct sites (fractional):
Ba: 0.000 0.000 0.000 (multiplicity 4)
Ca: 0.124 0.124 0.624 (multiplicity 16)
Ta: 0.250 0.250 0.250 (multiplicity 4)


(5)
# KMnCu2Te4

A relaxed structure of KMnCu2Te4 (PBE-GGA, Alexandria).

The calculation puts the final energy at -64.01 eV/cell. The value obtained for the uncorrected formation energy is -0.122 eV per atom. The calculation puts the total magnetization at 3.18 μB/f.u. Its crystal system is orthorhombic.

a b c (Å): 5.855 8.924 9.439
angles (deg): 90.00 90.00 90.00
Space group I222 (No. 23)
Symmetry-distinct sites (fractional):
K: 0.000 0.000 0.000 (multiplicity 2)
Mn: 0.000 0.500 0.000 (multiplicity 2)
Cu: 0.000 0.136 0.500 (multiplicity 4)
Te: 0.215 0.353 0.805 (multiplicity 8)


(6)
# CaTa2Tl

A relaxed structure of CaTa2Tl (PBE-GGA, Alexandria).

The calculation puts the final energy at -75.60 eV/cell. The formation energy from the elements is 0.7181 eV/atom. The calculation puts the total magnetization at 0.00 μB/f.u. Its crystal system is trigonal.

a b c (Å): 3.1048 3.1048 31.9399
angles (deg): 90.00 90.00 120.00
Space group R-3m (No. 166, hexagonal axes)
Symmetry-distinct sites (fractional):
Ca: 0.0000 0.0000 0.0000 (multiplicity 3)
Ta: 0.0000 0.0000 0.2454 (multiplicity 6)
Tl: 0.0000 0.0000 0.5000 (multiplicity 3)


(7)
# CsTbFeCl6

A relaxed structure of CsTbFeCl6 (PBE-GGA, Alexandria).

The calculation puts the final energy at -80.85 eV/cell. The value obtained for the uncorrected formation energy is -1.711 eV per atom. The calculation puts the total magnetization at 4.00 μB/f.u. Its crystal system is monoclinic.

a b c (Å): 6.777 11.726 7.795
angles (deg): 90.00 90.13 90.00
Space group C2 (No. 5)
Symmetry-distinct sites (fractional):
Cs: 0.000 0.000 0.000 (multiplicity 2)
Tb: 0.000 0.334 0.500 (multiplicity 2)
Fe: 0.000 0.667 0.500 (multiplicity 2)
Cl: 0.119 0.509 0.692 (multiplicity 4)
Cl: 0.176 0.806 0.690 (multiplicity 4)
Cl: 0.202 0.184 0.689 (multiplicity 4)


(8)
# Cs2ScIn

A relaxed structure of Cs2ScIn (PBE-GGA, Alexandria).

The calculation puts the final energy at -31.83 eV/cell. The formation energy from the elements is 0.7046 eV/atom. The calculation puts the total magnetization at 1.18 μB/f.u. Its crystal system is cubic.

a b c (Å): 9.186 9.186 9.186
angles (deg): 90.00 90.00 90.00
Space group Fm-3m (No. 225)
Symmetry-distinct sites (fractional):
Cs: 0.250 0.250 0.250 (multiplicity 8)
Sc: 0.000 0.000 0.000 (multiplicity 4)
In: 0.000 0.000 0.500 (multiplicity 4)


(9)
# SrZnN2

A relaxed structure of SrZnN2 (PBE-GGA, Alexandria).

The calculation puts the final energy at -74.26 eV/cell. The value obtained for the uncorrected formation energy is 0.260 eV per atom. The calculation puts the total magnetization at 0.00 μB/f.u. Its crystal system is tetragonal.

a b c (Å): 4.501 4.501 12.491
angles (deg): 90.00 90.00 90.00
Space group I-42d (No. 122)
Symmetry-distinct sites (fractional):
Sr: 0.000 0.000 0.000 (multiplicity 4)
Zn: 0.000 0.000 0.500 (multiplicity 4)
N: 0.084 0.250 0.625 (multiplicity 8)


(10)
# SrY2MgGe

A relaxed structure of SrY2MgGe (PBE-GGA, Alexandria).

The calculation puts the final energy at -21.28 eV/cell. The formation energy from the elements is -0.0923 eV/atom. The calculation puts the total magnetization at 0.00 μB/f.u. Its crystal system is tetragonal.

a b c (Å): 5.629 5.629 5.282
angles (deg): 90.00 90.00 90.00
Space group P4/mmm (No. 123)
Symmetry-distinct sites (fractional):
Sr: 0.000 0.000 0.000 (multiplicity 1)
Y: 0.000 0.500 0.500 (multiplicity 2)
Mg: 0.500 0.500 0.000 (multiplicity 1)
Ge: 0.500 0.500 0.500 (multiplicity 1)


(11)
# ZrScTc

A relaxed structure of ZrScTc (PBE-GGA, Alexandria).

The calculation puts the final energy at -93.07 eV/cell. The formation energy from the elements is 0.6590 eV/atom. The calculation puts the total magnetization at 0.00 μB/f.u. Its crystal system is cubic.

a b c (Å): 6.389 6.389 6.389
angles (deg): 90.00 90.00 90.00
Space group F-43m (No. 216)
Symmetry-distinct sites (fractional):
Zr: 0.000 0.000 0.000 (multiplicity 4)
Sc: 0.250 0.250 0.250 (multiplicity 4)
Tc: 0.250 0.250 0.750 (multiplicity 4)


(12)
# Te2Pb

A relaxed structure of Te2Pb (PBE-GGA, Alexandria).

The calculation puts the final energy at -42.57 eV/cell. The value obtained for the uncorrected formation energy is -0.217 eV per atom. The calculation puts the total magnetization at 0.00 μB/f.u. Its crystal system is cubic.

a b c (Å): 7.779 7.779 7.779
angles (deg): 90.00 90.00 90.00
Space group Pa-3 (No. 205)
Symmetry-distinct sites (fractional):
Te: 0.103 0.103 0.103 (multiplicity 8)
Pb: 0.000 0.000 0.500 (multiplicity 4)


(13)
# PuPaRh2

A relaxed structure of PuPaRh2 (PBE-GGA, Alexandria).

The calculation puts the final energy at -121.48 eV/cell. The formation energy from the elements is -0.4905 eV/atom. The calculation puts the total magnetization at 5.50 μB/f.u. Its crystal system is trigonal.

a b c (Å): 3.8173 3.8173 21.4742
angles (deg): 90.00 90.00 120.00
Space group R3m (No. 160, hexagonal axes)
Symmetry-distinct sites (fractional):
Pu: 0.0000 0.0000 0.0000 (multiplicity 3)
Pa: 0.0000 0.0000 0.8303 (multiplicity 3)
Rh: 0.0000 0.0000 0.2411 (multiplicity 3)
Rh: 0.0000 0.0000 0.4213 (multiplicity 3)


(14)
# Li2Mg3Pd

A relaxed structure of Li2Mg3Pd (PBE-GGA, Alexandria).

The calculation puts the final energy at -62.70 eV/cell. The formation energy from the elements is -0.3119 eV/atom. The calculation puts the total magnetization at 0.00 μB/f.u. Its crystal system is orthorhombic.

a b c (Å): 4.593 13.959 6.901
angles (deg): 90.00 90.00 90.00
Space group Cmmm (No. 65)
Symmetry-distinct sites (fractional):
Li: 0.000 0.000 0.000 (multiplicity 2)
Li: 0.000 0.000 0.500 (multiplicity 2)
Li: 0.000 0.338 0.000 (multiplicity 4)
Mg: 0.000 0.173 0.274 (multiplicity 8)
Mg: 0.000 0.500 0.267 (multiplicity 4)
Pd: 0.000 0.340 0.500 (multiplicity 4)


(15)
# Er6InSi2Te3

A relaxed structure of Er6InSi2Te3 (PBE-GGA, Alexandria).

The calculation puts the final energy at -123.58 eV/cell. The value obtained for the uncorrected formation energy is -0.950 eV per atom. The calculation puts the total magnetization at 0.00 μB/f.u. Its crystal system is monoclinic.

a b c (Å): 18.742 4.191 8.686
angles (deg): 90.00 105.12 90.00
Space group C2/m (No. 12)
Symmetry-distinct sites (fractional):
Er: 0.009 0.000 0.256 (multiplicity 4)
Er: 0.169 0.500 0.108 (multiplicity 4)
Er: 0.175 0.500 0.563 (multiplicity 4)
In: 0.000 0.500 0.000 (multiplicity 2)
Si: 0.167 0.000 0.333 (multiplicity 4)
Te: 0.000 0.500 0.500 (multiplicity 2)
Te: 0.164 0.000 0.830 (multiplicity 4)


(16)
# SrHg2Cl

A relaxed structure of SrHg2Cl (PBE-GGA, Alexandria).

The calculation puts the final energy at -7.35 eV/cell. The value obtained for the uncorrected formation energy is -0.804 eV per atom. The calculation puts the total magnetization at 0.00 μB/f.u. Its crystal system is tetragonal.

a b c (Å): 4.698 4.698 5.901
angles (deg): 90.00 90.00 90.00
Space group P4/mmm (No. 123)
Symmetry-distinct sites (fractional):
Sr: 0.000 0.000 0.000 (multiplicity 1)
Hg: 0.500 0.500 0.256 (multiplicity 2)
Cl: 0.000 0.000 0.500 (multiplicity 1)


(17)
# PmSeI

A relaxed structure of PmSeI (PBE-GGA, Alexandria).

The calculation puts the final energy at -28.09 eV/cell. The value obtained for the uncorrected formation energy is -1.420 eV per atom. The calculation puts the total magnetization at 0.00 μB/f.u. Its crystal system is tetragonal.

a b c (Å): 3.790 3.790 14.396
angles (deg): 90.00 90.00 90.00
Space group I4mm (No. 107)
Symmetry-distinct sites (fractional):
Pm: 0.000 0.000 0.000 (multiplicity 2)
Se: 0.000 0.000 0.593 (multiplicity 2)
I: 0.000 0.000 0.347 (multiplicity 2)


(18)
# RbCaTlF4

A relaxed structure of RbCaTlF4 (PBE-GGA, Alexandria).

The calculation puts the final energy at -66.96 eV/cell. The value obtained for the uncorrected formation energy is -2.951 eV per atom. The calculation puts the total magnetization at 0.00 μB/f.u. Its crystal system is tetragonal.

a b c (Å): 4.485 4.485 14.133
angles (deg): 90.00 90.00 90.00
Space group I4mm (No. 107)
Symmetry-distinct sites (fractional):
Rb: 0.000 0.000 0.000 (multiplicity 2)
Ca: 0.000 0.000 0.647 (multiplicity 2)
Tl: 0.000 0.000 0.301 (multiplicity 2)
F: 0.000 0.000 0.483 (multiplicity 2)
F: 0.000 0.000 0.807 (multiplicity 2)
F: 0.000 0.500 0.141 (multiplicity 4)


(19)
# HfZr2Fe2

A relaxed structure of HfZr2Fe2 (PBE-GGA, Alexandria).

The calculation puts the final energy at -178.40 eV/cell. The formation energy from the elements is -0.1249 eV/atom. The calculation puts the total magnetization at 0.00 μB/f.u. Its crystal system is monoclinic.

a b c (Å): 9.398 5.370 7.279
angles (deg): 90.00 104.26 90.00
Space group C2/c (No. 15)
Symmetry-distinct sites (fractional):
Hf: 0.000 0.139 0.250 (multiplicity 4)
Zr: 0.149 0.360 0.650 (multiplicity 8)
Fe: 0.150 0.146 0.004 (multiplicity 8)


(20)
# K2NaSbO4

A relaxed structure of K2NaSbO4 (PBE-GGA, Alexandria).

The calculation puts the final energy at -80.31 eV/cell. The value obtained for the uncorrected formation energy is -1.586 eV per atom. The calculation puts the total magnetization at 0.14 μB/f.u. Its crystal system is tetragonal.

a b c (Å): 6.114 6.114 8.340
angles (deg): 90.00 90.00 90.00
Space group I-4 (No. 82)
Symmetry-distinct sites (fractional):
K: 0.000 0.000 0.000 (multiplicity 2)
K: 0.000 0.500 0.250 (multiplicity 2)
Na: 0.000 0.500 0.750 (multiplicity 2)
Sb: 0.000 0.000 0.500 (multiplicity 2)
O: 0.163 0.207 0.624 (multiplicity 8)


(21)
# Cd3Ge

A relaxed structure of Cd3Ge (PBE-GGA, Alexandria).

The calculation puts the final energy at -13.78 eV/cell. The formation energy from the elements is 0.1181 eV/atom. The calculation puts the total magnetization at 0.00 μB/f.u. Its crystal system is tetragonal.

a b c (Å): 4.468 4.468 8.780
angles (deg): 90.00 90.00 90.00
Space group I4/mmm (No. 139)
Symmetry-distinct sites (fractional):
Cd: 0.000 0.000 0.000 (multiplicity 2)
Cd: 0.000 0.500 0.250 (multiplicity 4)
Ge: 0.000 0.000 0.500 (multiplicity 2)